Material: Tl3AuSe3
Method: DFT, GGA-PBE
State: optimized geometry

Calculated values
- E_tot: -3.1687 eV/atom
- Formation energy from raw total energies: -0.1930 eV per atom
- DOS at the Fermi energy: 0.14 states/eV per atom

Unit cell a=9.5032 b=9.5032 c=5.8269 alpha=90.00 beta=90.00 gamma=120.00
With the nearest neighbours (Å) after each atom.
Space group P6_3/m (No. 176)
Symmetry-distinct sites (fractional):
Tl1 0.0416 0.6786 0.2500 (multiplicity 6)  4 Se 2.93-3.16
Au1 0.3333 0.6667 0.7500 (multiplicity 2)  3 Se 2.62
Se1 0.0744 0.6969 0.7500 (multiplicity 6)  1 Au 2.62, 2 Tl 2.93